Material: MgPbW2O8
Method: DFT, PBE with a Hubbard U
State: relaxed

abc: 5.868 5.868 6.762
angles: 90.00 90.00 120.00
Fractional positions:
Mg (0.000, 0.000, 0.000)
Pb (0.000, 0.000, 0.500)
W (0.333, 0.667, 0.270)
W (0.667, 0.333, 0.730)
O (0.161, 0.322, 0.193)
O (0.161, 0.839, 0.193)
O (0.322, 0.161, 0.807)
O (0.333, 0.667, 0.534)
O (0.667, 0.333, 0.466)
O (0.678, 0.839, 0.193)
O (0.839, 0.161, 0.807)
O (0.839, 0.678, 0.807)

Summary:
Its total energy is -83.00 eV per cell.